VASP calculation (PBE) on a geometry-optimized Rb3HgH structure.

Space-group type ... No. 221
E ... -1.392 eV/atom

Unit cell a=5.8746 b=5.8746 c=5.8746 alpha=90.00 beta=90.00 gamma=90.00
Fractional coordinates of all 5 atoms:
H: 0.0000 0.0000 0.0000
Hg: 0.5000 0.5000 0.5000
Rb: 0.0000 0.5000 0.0000
Rb: 0.0000 0.0000 0.5000
Rb: 0.5000 0.0000 0.0000

=====

VASP calculation (PBE) on a geometry-optimized RbHgH structure.

Excess energy over the best structure of this formula in the dataset ... 0.32 eV per formula unit
Space-group type ... No. 156

Unit cell a=5.6509 b=4.3420 c=4.3420 alpha=120.00 beta=90.00 gamma=90.00
Fractional coordinates of all 3 atoms:
H: 0.0224 0.0000 0.0000
Hg: 0.7417 0.3333 0.6667
Rb: 0.2360 0.6667 0.3333

=====

VASP calculation (PBE) on a geometry-optimized Rb2HgH2 structure.

Excess energy over the best structure of this formula in the dataset ... 0.00 eV per formula unit
Space-group type ... No. 127

Unit cell a=8.3008 b=8.3008 c=3.7700 alpha=90.00 beta=90.00 gamma=90.00
Fractional coordinates of all 10 atoms:
H: 0.3521 0.8521 0.0000
H: 0.8521 0.6479 0.0000
H: 0.6479 0.1479 0.0000
H: 0.1479 0.3521 0.0000
Hg: 0.0000 0.0000 0.0000
Hg: 0.5000 0.5000 0.0000
Rb: 0.1516 0.6516 0.5000
Rb: 0.6516 0.8484 0.5000
Rb: 0.8484 0.3484 0.5000
Rb: 0.3484 0.1516 0.5000

=====

Repeat the first record exactly.
VASP calculation (PBE) on a geometry-optimized Rb3HgH structure.

Space-group type ... No. 221
E ... -1.392 eV/atom

Unit cell a=5.8746 b=5.8746 c=5.8746 alpha=90.00 beta=90.00 gamma=90.00
Fractional coordinates of all 5 atoms:
H: 0.0000 0.0000 0.0000
Hg: 0.5000 0.5000 0.5000
Rb: 0.0000 0.5000 0.0000
Rb: 0.0000 0.0000 0.5000
Rb: 0.5000 0.0000 0.0000